# 1
Entry from Alexandria: a relaxed structure of LuNbTcOs (PBE).

a = 4.602 Å, b = 4.602 Å, c = 4.602 Å
α = 60.00°, β = 60.00°, γ = 60.00°
Positions (direct):
Os 0.000 0.000 0.000
Lu 0.750 0.750 0.750
Nb 0.250 0.250 0.250
Tc 0.500 0.500 0.500

Computed properties:
E_form: -251 meV per atom
Space group: F-43m (216)

***

# 2
Entry from Alexandria: a relaxed structure of MgCdHgGe (PBE).

a = 4.957 Å, b = 4.957 Å, c = 4.957 Å
α = 60.00°, β = 60.00°, γ = 60.00°
Positions (direct):
Mg 0.000 0.000 0.000
Cd 0.500 0.500 0.500
Ge 0.250 0.250 0.250
Hg 0.750 0.750 0.750

Computed properties:
E_form: 14 meV per atom
Space group: F-43m (216)

***

# 3
Entry from Alexandria: a relaxed structure of CePmSm2Ho5 (PBE).

a = 8.658 Å, b = 8.658 Å, c = 9.847 Å
α = 116.08°, β = 116.08°, γ = 90.00°
Positions (direct):
Pm 0.250 0.250 0.500
Ho 0.564 0.659 0.724
Pm 0.750 0.750 0.500
Ho 0.000 0.000 0.000
Ho 0.159 0.064 0.724
Ce 0.750 0.250 0.500
Ho 0.064 0.564 0.724
Sm 0.381 0.881 0.000
Sm 0.881 0.619 0.000
Ho 0.500 0.500 0.000
Ho 0.436 0.341 0.276
Ho 0.341 0.841 0.276
Ho 0.936 0.436 0.276
Sm 0.619 0.119 0.000
Ce 0.250 0.750 0.500
Sm 0.119 0.381 0.000
Ho 0.659 0.159 0.724
Ho 0.841 0.936 0.276

Computed properties:
E_form: 271 meV per atom
Space group: I4/mcm (140)

***

# 4
Entry from Alexandria: a relaxed structure of NaLa3Os (PBE).

a = 4.825 Å, b = 4.825 Å, c = 17.574 Å
α = 90.00°, β = 90.00°, γ = 120.00°
Positions (direct):
Na 0.333 0.667 0.750
La 0.000 0.000 0.250
La 0.667 0.333 0.436
La 0.000 0.000 0.750
Na 0.667 0.333 0.250
Os 0.000 0.000 0.000
La 0.333 0.667 0.936
La 0.333 0.667 0.564
Os 0.000 0.000 0.500
La 0.667 0.333 0.064

Computed properties:
E_form: 705 meV per atom
Space group: P6_3/mmc (194)

***

The electronic total energy results, record by record, are as follows: -37.2, -7.4, -81.1, -47.6 eV per cell.